Entry 1:
## NaCu2Cl (PBE-GGA)

Data for a geometry-optimized NaCu2Cl structure.

As for the raw formation energy: 0.10 eV per atom. The calculated volume comes out at 20.150 Å³ per atom. The value obtained for the magnetization is 0.000 μB/atom.

The space group is I-42d (No. 122) and the conventional cell measures 8.0476, 8.0476 and 4.9781 Å, with angles of 90.00, 90.00 and 90.00 degrees. The distinct sites, in fractional coordinates, are Na at (0.0000, 0.0000, 0.0000), Cu at (0.1950, 0.2500, 0.6250) and Cl at (0.0000, 0.0000, 0.5000).

Entry 2:
## SrCa2PuSe4 (PBE-GGA)

Data for a geometry-optimized SrCa2PuSe4 structure.

As for the raw formation energy: -1.85 eV per atom. The calculated volume comes out at 27.521 Å³ per atom. The value obtained for the magnetization is 0.745 μB/atom.

The space group is P2/m (No. 10) and the conventional cell measures 7.3943, 4.2602 and 7.4181 Å, with angles of 90.00, 109.58 and 90.00 degrees. The distinct sites, in fractional coordinates, are Sr at (0.0000, 0.0000, 0.0000), Ca at (0.5000, 0.0000, 0.5000), Ca at (0.5000, 0.5000, 0.0000), Pu at (0.0000, 0.5000, 0.5000), Se at (0.2532, 0.0000, 0.7444) and Se at (0.2593, 0.5000, 0.2591).

Entry 3:
## CdCuNiPd2 (PBE-GGA)

Data for a geometry-optimized CdCuNiPd2 structure.

The calculated volume comes out at 22.877 Å³ per atom. As for the total energy: -14.8 eV for the cell shown. The value obtained for the magnetization is 0.177 μB/atom.

The space group is P4/mmm (No. 123) and the conventional cell measures 4.9443, 4.9443 and 4.6789 Å, with angles of 90.00, 90.00 and 90.00 degrees. The distinct sites, in fractional coordinates, are Cd at (0.0000, 0.0000, 0.0000), Cu at (0.0000, 0.0000, 0.5000), Ni at (0.5000, 0.5000, 0.5000) and Pd at (0.0000, 0.5000, 0.0000).